1.
4
Lattice="0.000 2.962 2.962 2.962 0.000 2.962 2.962 2.962 0.000" Properties=species:S:1:pos:R:3 comment="Ni2RuSe, optimized geometry, DFT GGA-PBE" crystal_system=cubic formation_energy_uncorrected_ev_per_atom=0.23 pbc="T T T"
Ni 0.000 0.000 0.000
Ni 1.481 1.481 1.481
Ru 2.962 2.962 2.962
Se 4.444 4.444 4.444


2.
5
Lattice="4.777 0.000 0.000 0.000 4.777 0.000 0.000 0.000 4.119" Properties=species:S:1:pos:R:3 comment="Sc2BeZnAs, optimized geometry, DFT GGA-PBE" crystal_system=tetragonal e_form_ev_per_atom=-0.17 pbc="T T T"
Sc 0.000 2.389 0.000
Sc 2.389 0.000 0.000
Be 0.000 0.000 0.000
Zn 0.000 0.000 2.060
As 2.389 2.389 2.060


3.
5
Lattice="5.355 0.000 0.000 0.000 5.355 0.000 0.000 0.000 4.667" Properties=species:S:1:pos:R:3 comment="K2BiHAu, optimized geometry, DFT GGA-PBE" crystal_system=tetragonal e_above_lowest_polymorph_ev_per_atom=0.132 pbc="T T T"
K 0.000 2.677 0.000
K 2.677 0.000 0.000
Bi 0.000 0.000 2.334
H 0.000 0.000 0.000
Au 2.677 2.677 2.334


4.
12
Lattice="0.000 4.908 8.506 3.441 0.000 8.506 3.441 4.908 0.000" Properties=species:S:1:pos:R:3 comment="Tm2In3Ag, optimized geometry, DFT GGA-PBE" crystal_system=orthorhombic e_form_ev_per_atom=-0.37 e_above_lowest_polymorph_ev_per_atom=0.005 pbc="T T T"
Tm 5.176 4.908 8.506
Tm 1.721 2.454 4.253
Tm 5.162 7.362 12.760
Tm 1.707 4.908 8.506
In 3.441 2.396 7.051
In 3.441 2.396 9.962
In 3.441 4.908 5.628
In 3.441 4.908 11.385
In 3.441 7.420 7.051
In 3.441 7.420 9.962
Ag 3.441 4.908 2.856
Ag 3.441 4.908 14.157


5.
4
Lattice="4.791 -1.655 0.000 4.791 1.655 0.000 -1.119 0.000 5.076" Properties=species:S:1:pos:R:3 comment="CdIn2Rh, optimized geometry, DFT GGA-PBE" crystal_system=monoclinic e_form_ev_per_atom=-0.05 pbc="T T T"
Cd 0.000 0.000 0.000
In 1.429 0.000 3.690
In 7.034 0.000 1.387
Rh 4.232 0.000 2.538


6.
8
Lattice="-2.893 2.893 5.781 2.893 -2.893 5.781 2.893 2.893 -5.781" Properties=species:S:1:pos:R:3 comment="MgCoSe2, optimized geometry, DFT GGA-PBE" crystal_system=tetragonal e_above_lowest_polymorph_ev_per_atom=0.000 formation_energy_uncorrected_ev_per_atom=-0.52 pbc="T T T"
Mg 0.000 0.000 0.000
Mg 0.000 2.893 2.890
Co 2.893 0.000 2.890
Co 0.000 0.000 5.781
Se 1.446 -1.289 4.336
Se 1.604 1.446 1.445
Se 1.446 4.182 -1.445
Se 1.289 1.446 7.226


7.
3
Lattice="-1.645 1.645 6.280 1.645 -1.645 6.280 1.645 1.645 -6.280" Properties=species:S:1:pos:R:3 comment="BaTcRu, optimized geometry, DFT GGA-PBE" crystal_system=tetragonal e_form_ev_per_atom=0.58 e_above_lowest_polymorph_ev_per_atom=0.099 pbc="T T T"
Ba 0.000 0.000 0.000
Tc 0.000 0.000 8.925
Ru 0.000 0.000 3.632


8.
6
Lattice="-2.010 2.010 7.640 2.010 -2.010 7.640 2.010 2.010 -7.640" Properties=species:S:1:pos:R:3 comment="PuTiAs, optimized geometry, DFT GGA-PBE" crystal_system=tetragonal e_form_ev_per_atom=-0.73 pbc="T T T"
Pu 0.000 0.000 2.704
Pu 0.000 0.000 12.577
Ti 2.010 0.000 0.000
Ti 0.000 2.010 0.000
As 0.000 0.000 5.825
As 0.000 0.000 9.455